i.
Here is a relaxed structure of Ca2PtO2 from the Alexandria database. Energies are from PBE.

Lattice parameters (Å, degrees): 6.751 6.751 3.177 90.00 90.00 90.00
Fractional positions:
Ca1 0.160 0.660 0.500
Ca2 0.660 0.840 0.500
Ca3 0.840 0.340 0.500
Ca4 0.340 0.160 0.500
O1 0.342 0.842 0.000
O2 0.842 0.658 0.000
O3 0.658 0.158 0.000
O4 0.158 0.342 0.000
Pt1 0.000 0.000 0.000
Pt2 0.500 0.500 0.000

Calculated values
- SG = P4/mbm (127)
- mass density (g cm⁻³) = 7.05



ii.
Here is a relaxed structure of Ca2PtO2 from the Alexandria database. Energies are from PBE.

Lattice parameters (Å, degrees): 4.696 4.696 5.448 64.47 64.47 90.00
Fractional positions:
Ca1 0.750 0.250 0.500
Ca2 0.250 0.750 0.500
O1 0.238 0.238 0.523
O2 0.762 0.762 0.477
Pt1 0.000 0.000 0.000

Calculated values
- SG = I4/mmm (139)
- mass density (g cm⁻³) = 5.36



Least stable structure: i



i.
Here is a relaxed structure of CaSc2PtO from the Alexandria database. Energies are from PBE.

Lattice parameters (Å, degrees): 5.400 4.726 5.400 90.00 90.00 90.00
Fractional positions:
Sc1 0.000 0.000 0.500
Sc2 0.500 0.000 0.000
Ca1 0.000 0.000 0.000
O1 0.500 0.500 0.500
Pt1 0.000 0.500 0.000

Calculated values
- SG = P4/mmm (123)
- mass density (g cm⁻³) = 4.11



ii.
Here is a relaxed structure of CaSc2PtO from the Alexandria database. Energies are from PBE.

Lattice parameters (Å, degrees): 4.321 4.321 4.753 90.00 90.00 90.00
Fractional positions:
Sc1 0.000 0.500 0.000
Sc2 0.500 0.000 0.000
Ca1 0.000 0.000 0.500
O1 0.000 0.000 0.000
Pt1 0.500 0.500 0.500

Calculated values
- SG = P4/mmm (123)
- mass density (g cm⁻³) = 6.38



Least stable structure: i



i.
Here is a relaxed structure of CaY2PtO from the Alexandria database. Energies are from PBE.

Lattice parameters (Å, degrees): 4.756 4.756 4.534 90.00 90.00 90.00
Fractional positions:
Y1 0.000 0.500 0.000
Y2 0.500 0.000 0.000
Ca1 0.000 0.000 0.500
O1 0.000 0.000 0.000
Pt1 0.500 0.500 0.500

Calculated values
- SG = P4/mmm (123)
- mass density (g cm⁻³) = 6.95



ii.
Here is a relaxed structure of CaY2PtO from the Alexandria database. Energies are from PBE.

Lattice parameters (Å, degrees): 5.761 4.035 5.761 90.00 90.00 90.00
Fractional positions:
Y1 0.000 0.000 0.500
Y2 0.500 0.000 0.000
Ca1 0.500 0.500 0.500
O1 0.000 0.500 0.000
Pt1 0.000 0.000 0.000

Calculated values
- SG = P4/mmm (123)
- mass density (g cm⁻³) = 5.32



Least stable structure: ii



i.
Here is a relaxed structure of Ca3PuO6 from the Alexandria database. Energies are from PBE.

Lattice parameters (Å, degrees): 6.752 6.752 6.752 91.31 91.31 91.31
Fractional positions:
Ca1 0.442 0.938 0.749
Ca2 0.938 0.749 0.442
Ca3 0.251 0.558 0.062
Ca4 0.749 0.442 0.938
Ca5 0.062 0.251 0.558
Ca6 0.558 0.062 0.251
Pu1 0.000 0.000 0.000
Pu2 0.500 0.500 0.500
O1 0.293 0.927 0.065
O2 0.073 0.935 0.707
O3 0.585 0.793 0.458
O4 0.935 0.707 0.073
O5 0.458 0.585 0.793
O6 0.207 0.542 0.415
O7 0.793 0.458 0.585
O8 0.542 0.415 0.207
O9 0.065 0.293 0.927
O10 0.415 0.207 0.542
O11 0.927 0.065 0.293
O12 0.707 0.073 0.935

Calculated values
- SG = R-3 (148)
- mass density (g cm⁻³) = 4.97



ii.
Here is a relaxed structure of Ca3PuO6 from the Alexandria database. Energies are from PBE.

Lattice parameters (Å, degrees): 5.831 5.831 10.423 90.00 90.00 120.00
Fractional positions:
Ca1 0.000 0.000 0.500
Ca2 0.000 0.000 0.000
Ca3 0.667 0.333 0.061
Ca4 0.333 0.667 0.561
Ca5 0.333 0.667 0.939
Ca6 0.667 0.333 0.439
Pu1 0.667 0.333 0.750
Pu2 0.333 0.667 0.250
O1 0.938 0.621 0.625
O2 0.379 0.317 0.625
O3 0.062 0.379 0.125
O4 0.317 0.379 0.375
O5 0.683 0.062 0.625
O6 0.621 0.683 0.125
O7 0.062 0.683 0.375
O8 0.683 0.621 0.875
O9 0.317 0.938 0.125
O10 0.938 0.317 0.875
O11 0.621 0.938 0.375
O12 0.379 0.062 0.875

Calculated values
- SG = P6_322 (182)
- mass density (g cm⁻³) = 4.98



Least stable structure: ii



i.
Here is a relaxed structure of RbCa3O from the Alexandria database. Energies are from PBE.

Lattice parameters (Å, degrees): 7.040 7.040 7.040 90.00 90.00 90.00
Fractional positions:
Ca1 0.000 0.500 0.000
Ca2 0.000 0.000 0.500
Ca3 0.500 0.000 0.000
O1 0.500 0.500 0.500
Rb1 0.000 0.000 0.000

Calculated values
- SG = Pm-3m (221)
- mass density (g cm⁻³) = 1.05



ii.
Here is a relaxed structure of RbCa3O from the Alexandria database. Energies are from PBE.

Lattice parameters (Å, degrees): 5.392 5.392 5.392 90.00 90.00 90.00
Fractional positions:
Ca1 0.000 0.500 0.000
Ca2 0.000 0.000 0.500
Ca3 0.500 0.000 0.000
O1 0.000 0.000 0.000
Rb1 0.500 0.500 0.500

Calculated values
- SG = Pm-3m (221)
- mass density (g cm⁻³) = 2.35



Least stable structure: i



i.
Here is a relaxed structure of Rb2CaO from the Alexandria database. Energies are from PBE.

Lattice parameters (Å, degrees): 12.937 12.937 9.407 46.56 46.56 90.00
Fractional positions:
Ca1 0.000 0.000 0.000
Ca2 0.750 0.250 0.500
O1 0.500 0.500 0.000
O2 0.250 0.750 0.500
Rb1 0.450 0.125 0.250
Rb2 0.300 0.625 0.250
Rb3 0.375 0.550 0.750
Rb4 0.875 0.700 0.750

Calculated values
- SG = I-42d (122)
- mass density (g cm⁻³) = 2.05



ii.
Here is a relaxed structure of Rb2CaO from the Alexandria database. Energies are from PBE.

Lattice parameters (Å, degrees): 6.069 6.069 6.069 60.00 60.00 60.00
Fractional positions:
Ca1 0.500 0.500 0.500
O1 0.000 0.000 0.000
Rb1 0.250 0.250 0.250
Rb2 0.750 0.750 0.750

Calculated values
- SG = Fm-3m (225)
- mass density (g cm⁻³) = 2.39



Least stable structure: ii